*P*
VASP calculation (PBE-GGA) on a geometry-optimized AcCuPb2 structure.

abc: 4.8293 4.8293 4.9624
angles: 90.00 90.00 90.00
Sites, in units of the cell vectors:
1 Ac 0.0000 0.0000 0.0000
2 Cu 0.5000 0.5000 0.0000
3 Pb 0.0000 0.5000 0.5000
4 Pb 0.5000 0.0000 0.5000

Calculated values
The space group is P4/mmm, No. 123. Its total moment is 0.00 μB per formula unit.



*Q*
VASP calculation (PBE-GGA) on a geometry-optimized AcCuPb2 structure.

abc: 3.6925 3.6925 29.5074
angles: 90.00 90.00 120.00
Sites, in units of the cell vectors:
1 Ac 0.0000 0.0000 0.0000
2 Ac 0.3333 0.6667 0.6667
3 Ac 0.6667 0.3333 0.3333
4 Cu 0.0000 0.0000 0.5000
5 Cu 0.3333 0.6667 0.1667
6 Cu 0.6667 0.3333 0.8333
7 Pb 0.0000 0.0000 0.2309
8 Pb 0.0000 0.0000 0.7691
9 Pb 0.3333 0.6667 0.4358
10 Pb 0.3333 0.6667 0.8975
11 Pb 0.6667 0.3333 0.1025
12 Pb 0.6667 0.3333 0.5642

Calculated values
The space group is R-3m, No. 166. Its total moment is 0.00 μB per formula unit.



Stability ranking, top entry: *P*; the second entry is 0.229 eV/atom less favorable.